# Pm2InGa3Cu4, optimized geometry, DFT GGA-PBE
# Total energy   -41.7 eV/cell
# Total magnetic moment   0.000 μB per cell
# Energy of formation from the pure elements   -0.399 eV per atom
data_Pm2InGa3Cu4
_cell_length_a 4.259
_cell_length_b 4.259
_cell_length_c 10.302
_cell_angle_alpha 90.00
_cell_angle_beta 90.00
_cell_angle_gamma 90.00
_symmetry_space_group_name_H-M 'P -4 m 2'
_symmetry_Int_Tables_number 115
_symmetry_space_group_name_Hall 'P -4 -2'
loop_
_atom_site_label
_atom_site_fract_x
_atom_site_fract_y
_atom_site_fract_z
Pm1 0.000 0.500 0.235
In1 0.000 0.000 0.500
Ga1 0.000 0.500 0.877
Ga2 0.500 0.500 0.500
Cu1 0.000 0.000 0.000
Cu2 0.000 0.500 0.645
Cu3 0.500 0.500 0.000



# Er2GaB2Ru5, optimized geometry, DFT GGA-PBE
# Total energy   -153.7 eV/cell
# Total magnetic moment   0.000 μB per cell
# Energy of formation from the pure elements   -0.497 eV per atom
data_Er2GaB2Ru5
_cell_length_a 9.542
_cell_length_b 9.542
_cell_length_c 3.110
_cell_angle_alpha 90.00
_cell_angle_beta 90.00
_cell_angle_gamma 90.00
_symmetry_space_group_name_H-M 'P 4/m b m'
_symmetry_Int_Tables_number 127
_symmetry_space_group_name_Hall '-P 4 2ab'
loop_
_atom_site_label
_atom_site_fract_x
_atom_site_fract_y
_atom_site_fract_z
Er1 0.176 0.324 0.000
Ga1 0.000 0.000 0.000
B1 0.124 0.624 0.000
Ru1 0.000 0.500 0.500
Ru2 0.069 0.782 0.500